DFT (PBE-GGA) results for a geometry-optimized Rb2Na5TlPb2 structure.

Cell lengths 13.722, 13.722, 4.021 Å; angles 90.00, 90.00, 90.00 degrees
Space group P4/mbm (No. 127)
Inequivalent atoms, fractional coordinates:
Rb 0.169 0.331 0.000 x4
Na 0.000 0.500 0.500 x2
Na 0.063 0.809 0.500 x8
Tl 0.000 0.000 0.000 x2
Pb 0.134 0.634 0.000 x4

Total moment   0.0 μB/cell
Formation enthalpy at 0 K   -0.07 eV/atom
Theoretical density   3.968 g cm⁻³

DFT (PBE-GGA) results for a geometry-optimized RbNaTl3Pb structure.

Cell lengths 7.156, 17.195, 7.099 Å; angles 90.00, 90.00, 90.00 degrees
Space group Cmcm (No. 63)
Inequivalent atoms, fractional coordinates:
Rb 0.000 0.190 0.250 x4
Na 0.000 0.395 0.250 x4
Tl 0.000 0.379 0.750 x4
Tl 0.227 0.000 0.000 x8
Pb 0.000 0.128 0.750 x4

Total moment   0.0 μB/cell
Formation enthalpy at 0 K   -0.05 eV/atom
Theoretical density   7.063 g cm⁻³

DFT (PBE-GGA) results for a geometry-optimized RbNaTlPb structure.

Cell lengths 8.162, 8.162, 8.162 Å; angles 90.00, 90.00, 90.00 degrees
Space group F-43m (No. 216)
Inequivalent atoms, fractional coordinates:
Rb 0.000 0.000 0.000 x4
Na 0.250 0.250 0.250 x4
Tl 0.250 0.250 0.750 x4
Pb 0.000 0.000 0.500 x4

Total moment   0.0 μB/cell
Formation enthalpy at 0 K   -0.07 eV/atom
Theoretical density   6.352 g cm⁻³

DFT (PBE-GGA) results for a geometry-optimized RbNaTl2Pb structure.

Cell lengths 6.248, 6.248, 5.716 Å; angles 90.00, 90.00, 90.00 degrees
Space group P4/mmm (No. 123)
Inequivalent atoms, fractional coordinates:
Rb 0.000 0.000 0.000 x1
Na 0.000 0.000 0.500 x1
Tl 0.000 0.500 0.000 x2
Pb 0.500 0.500 0.500 x1

Total moment   0.0 μB/cell
Formation enthalpy at 0 K   0.67 eV/atom
Theoretical density   5.390 g cm⁻³

E
In order: -1.8999, -2.2361, -2.1596, -1.4775
Unit: eV per atom